## Y2SnO (PBE-GGA)

Data for crystalline Y2SnO at its relaxed geometry.

Lattice parameters (Å, degrees): 3.5592 3.5592 7.8576 76.91 76.91 60.00
Last column: nearest neighbours and their distance in Å.
Fractional coordinates of all 4 atoms:
Y 0.2756 0.2756 0.1731  3 O 2.44
Y 0.7244 0.7244 0.8269  3 O 2.44
Sn 0.5000 0.5000 0.5000  6 Y 3.22, 6 Sn 3.56
O 0.0000 0.0000 0.0000  6 Y 2.44

Output
Relative energy among the computed polymorphs   0.219 eV per atom
Calculated density   6.24 Mg/m³
Total magnetization   0.000 μB/cell
Final energy   -7.14 eV per atom
Space-group type   R-3m (166)